Record 1
Computed, not measured: a relaxed Ag2OsCl crystal at the PBEsol level of DFT.

The structure belongs to space group P4mm (No. 99); the cell edges are 2.8444, 2.8444 and 8.1590 Å and the angles 90.00°, 90.00° and 90.00°. Symmetry generates all atoms from Ag at (0.0000, 0.0000, 0.0000), Ag at (0.5000, 0.5000, 0.2468), Os at (0.5000, 0.5000, 0.7547) and Cl at (0.0000, 0.0000, 0.5637).

As for the energy above the most stable polymorph in this dataset: 3.744 kcal/mol of atoms. The value obtained for the formation energy (no corrections) is 67 kJ per mole of atoms.

---

Record 2
Computed, not measured: a relaxed AgOs2Cl crystal at the PBEsol level of DFT.

The structure belongs to space group F-43m (No. 216); the cell edges are 6.2386, 6.2386 and 6.2386 Å and the angles 90.00°, 90.00° and 90.00°. Symmetry generates all atoms from Ag at (0.0000, 0.0000, 0.0000), Os at (0.0000, 0.0000, 0.5000), Os at (0.2500, 0.2500, 0.2500) and Cl at (0.2500, 0.2500, 0.7500).

As for the energy above the most stable polymorph in this dataset: 5.576 kcal/mol of atoms. The value obtained for the formation energy (no corrections) is 118 kJ per mole of atoms.

---

Record 3
Computed, not measured: a relaxed AgOs2Cl crystal at the PBEsol level of DFT.

The structure belongs to space group P4/mmm (No. 123); the cell edges are 4.4858, 4.4858 and 2.9306 Å and the angles 90.00°, 90.00° and 90.00°. Symmetry generates all atoms from Ag at (0.0000, 0.0000, 0.0000), Os at (0.0000, 0.5000, 0.5000) and Cl at (0.5000, 0.5000, 0.0000).

As for the energy above the most stable polymorph in this dataset: 13.208 kcal/mol of atoms. The value obtained for the formation energy (no corrections) is 150 kJ per mole of atoms.

---

Record 4
Computed, not measured: a relaxed AgOs2Cl crystal at the PBEsol level of DFT.

The structure belongs to space group Immm (No. 71); the cell edges are 2.7933, 4.4804 and 9.6219 Å and the angles 90.00°, 90.00° and 90.00°. Symmetry generates all atoms from Ag at (0.0000, 0.0000, 0.0000), Os at (0.0000, 0.5000, 0.2192) and Cl at (0.0000, 0.0000, 0.5000).

As for the energy above the most stable polymorph in this dataset: 0.000 kcal/mol of atoms. The value obtained for the formation energy (no corrections) is 95 kJ per mole of atoms.